(1)
DFT (GGA-PBE) results for a relaxed structure of Mn2IrPt.

The structure in POSCAR format:
```
Mn2IrPt
1.0
5.970 0.000 0.000
0.000 5.970 0.000
0.000 0.000 5.970
Mn Ir Pt
8 4 4
Direct
0.250 0.250 0.250
0.250 0.250 0.750
0.250 0.750 0.250
0.250 0.750 0.750
0.750 0.250 0.250
0.750 0.250 0.750
0.750 0.750 0.250
0.750 0.750 0.750
0.000 0.000 0.000
0.000 0.500 0.500
0.500 0.000 0.500
0.500 0.500 0.000
0.000 0.000 0.500
0.000 0.500 0.000
0.500 0.000 0.000
0.500 0.500 0.500
```

Properties
Mass density ... 15.519 Mg/m³
Energy relative to the elements ... 0.36 eV/atom

=====

(2)
DFT (GGA-PBE) results for a relaxed structure of DyHo2Be.

The structure in POSCAR format:
```
DyHo2Be
1.0
3.450 0.000 0.000
0.000 3.450 0.000
0.000 0.000 8.518
Dy Ho Be
1 2 1
Direct
0.000 0.000 0.000
0.500 0.500 0.306
0.500 0.500 0.694
0.000 0.000 0.500
```

Properties
Mass density ... 8.210 Mg/m³
Energy relative to the elements ... 0.07 eV/atom

=====

| no. | volume (Å³/cell) |
| --- | --- |
| 1 | 212.8 |
| 2 | 101.4 |